An optimized crystal structure of Mg4Ga5Cu. Source: Alexandria, functional PBE.

Results
For the size of the total moment, the calculation gives 0.00 Bohr magnetons per cell. The space group is I4, No. 79. As for the energy relative to the elements: -6.6 kJ per mole of atoms. The electronic total energy comes out at -2.63 eV per atom.

Unit cell a=5.5799 b=6.5500 c=6.5500 alpha=79.55 beta=64.79 gamma=64.79
Positions (direct):
Mg  0.6012  0.2613  0.6394
Mg  0.5019  0.7387  0.3606
Mg  0.2406  0.3606  0.2613
Mg  0.8625  0.6394  0.7387
Cu  0.7717  0.0000  0.0000
Ga  0.1357  0.1353  0.6793
Ga  0.2710  0.6793  0.8647
Ga  0.8150  0.3207  0.1353
Ga  0.9503  0.8647  0.3207
Ga  0.3396  0.0000  0.0000